# 1
Ba2InSn after structural relaxation, computed with PBE.

Results
- total DFT energy (no corrections) (eV per atom) = -3.122
- energy above the lowest structure with this stoichiometry (eV/atom) = 0.086
- V (Å³ per atom) = 38.8

```
data_Ba2InSn
_chemical_formula_sum 'Ba8 In4 Sn4'
_space_group_name_H-M_alt 'F m -3 m'
_space_group_IT_number 225
_space_group_name_Hall '-F 4 2 3'
_cell_length_a 8.5309
_cell_length_b 8.5309
_cell_length_c 8.5309
_cell_angle_alpha 90.00
_cell_angle_beta 90.00
_cell_angle_gamma 90.00
loop_
_atom_site_label
_atom_site_type_symbol
_atom_site_fract_x
_atom_site_fract_y
_atom_site_fract_z
_atom_site_occupancy
Ba1 Ba 0.2500 0.2500 0.2500 1
In1 In 0.0000 0.0000 0.0000 1
Sn1 Sn 0.0000 0.0000 0.5000 1
```

# 2
Pa3SiTc4 after structural relaxation, computed with PBE.

Results
- total DFT energy (no corrections) (eV per atom) = -9.690
- raw formation energy (eV/atom) = -0.268
- V (Å³ per atom) = 18.9

```
data_Pa3SiTc4
_chemical_formula_sum 'Pa6 Si2 Tc8'
_space_group_name_H-M_alt 'I m m 2'
_space_group_IT_number 44
_cell_length_a 5.7766
_cell_length_b 9.2253
_cell_length_c 5.6875
_cell_angle_alpha 90.00
_cell_angle_beta 90.00
_cell_angle_gamma 90.00
loop_
_space_group_symop_operation_xyz
'x,y,z'
'-x,-y,z'
'-x,y,z'
'x,-y,z'
'x+1/2,y+1/2,z+1/2'
'-x+1/2,-y+1/2,z+1/2'
'-x+1/2,y+1/2,z+1/2'
'x+1/2,-y+1/2,z+1/2'
loop_
_atom_site_label
_atom_site_type_symbol
_atom_site_fract_x
_atom_site_fract_y
_atom_site_fract_z
_atom_site_occupancy
Pa1 Pa 0.0000 0.0000 0.0000 1
Pa2 Pa 0.0000 0.3036 0.2648 1
Si1 Si 0.0000 0.5000 0.6626 1
Tc1 Tc 0.0000 0.2351 0.7484 1
Tc2 Tc 0.2434 0.0000 0.4995 1
```